A relaxed Ac3AlAs2Pd9 crystal. Source: Alexandria via LeMat-Bulk, functional PBE.

a b c (Å): 6.6044 6.6044 8.8658
angles (deg): 90.00 90.00 120.00
Last column: nearest neighbours and their distance in Å.
Atoms (fractional coordinates):
Pd 0.5000 0.5000 0.0000  2 As 2.49
Pd 0.8571 0.7143 0.7082  1 As 2.39, 1 Al 2.47
Pd 0.0000 0.5000 0.0000  2 As 2.49
Pd 0.8571 0.1429 0.7082  1 As 2.39, 1 Al 2.47
Pd 0.2857 0.1429 0.7082  1 As 2.39, 1 Al 2.47
Pd 0.1429 0.8571 0.2918  1 As 2.39, 1 Al 2.47
Pd 0.7143 0.8571 0.2918  1 As 2.39, 1 Al 2.47
Pd 0.1429 0.2857 0.2918  1 As 2.39, 1 Al 2.47
Pd 0.5000 0.0000 0.0000  2 As 2.49
Al 0.0000 0.0000 0.5000  6 Pd 2.47
Ac 0.0000 0.0000 0.0000  12 Pd 3.06-3.30
Ac 0.3333 0.6667 0.6599  9 Pd 3.34-3.57
Ac 0.6667 0.3333 0.3401  9 Pd 3.34-3.57
As 0.6667 0.3333 0.8192  6 Pd 2.39-2.49
As 0.3333 0.6667 0.1808  6 Pd 2.39-2.49

Properties
* space group: P-3m1, No. 164

---

A relaxed MgAl3Sb crystal. Source: Alexandria via LeMat-Bulk, functional PBE.

a b c (Å): 5.0837 5.0837 5.0837
angles (deg): 90.00 90.00 90.00
Last column: nearest neighbours and their distance in Å.
Atoms (fractional coordinates):
Mg 0.0000 0.0000 0.0000  6 Al 2.54
Sb 0.5000 0.5000 0.5000  12 Al 3.59
Al 0.0000 0.5000 0.0000  2 Mg 2.54
Al 0.0000 0.0000 0.5000  2 Mg 2.54
Al 0.5000 0.0000 0.0000  2 Mg 2.54

Properties
* formation energy without anion corrections: 0.789 eV/atom
* polymorph energy (0 for the lowest one): 0.0 kJ per mole of atoms
* space group: Pm-3m, No. 221

---

A relaxed BIr2S crystal. Source: Alexandria via LeMat-Bulk, functional PBE.

a b c (Å): 4.1070 4.1070 4.1070
angles (deg): 60.00 60.00 60.00
Last column: nearest neighbours and their distance in Å.
Atoms (fractional coordinates):
Ir 0.7500 0.7500 0.7500  4 S 2.52, 4 B 2.52
Ir 0.2500 0.2500 0.2500  4 S 2.52, 4 B 2.52
S 0.5000 0.5000 0.5000  8 Ir 2.52
B 0.0000 0.0000 0.0000  8 Ir 2.52

Properties
* formation energy without anion corrections: 0.695 eV/atom
* polymorph energy (0 for the lowest one): 66.7 kJ per mole of atoms
* space group: Fm-3m, No. 225

---

In eV/cell, the VASP energy values for the records above are, in order, -82.4; -13.0; -25.7.